{
  "formula": "LaScH2",
  "functional": "PBE",
  "state": "relaxed",
  "cell": [[0.000, 3.099, 3.099], [3.099, 0.000, 3.099], [3.099, 3.099, 0.000]],
  "species": ["La", "Sc", "H", "H"],
  "frac_coords": [[0.000, 0.000, 0.000], [0.500, 0.500, 0.500], [0.250, 0.250, 0.250], [0.750, 0.750, 0.750]],
  "dos_at_fermi_per_ev_cell": 5.81,
  "dft_energy_ev_per_atom": -4.38,
  "space_group": "Fm-3m, No. 225",
  "total_magnetization_mub_per_atom": 0.00
}